# 1
First-principles (GGA-PBE) data for crystalline Ba3TiAu2S6 at its relaxed geometry, as listed in the Alexandria database.

- N(E_F) (states/eV/cell) = 1.8
- V (A^3/atom) = 29.025
- formation energy without anion corrections (eV per atom) = -1.10
- total moment (μB/f.u.) = 0.000

Cell: 7.238 7.238 7.678 Å, 90.00 90.00 120.00°
Fractional coordinates of all 12 atoms:
1 Ba 0.000 0.000 0.000
2 Ba 0.333 0.667 0.628
3 Ba 0.667 0.333 0.372
4 Ti 0.000 0.000 0.500
5 Au 0.333 0.667 0.173
6 Au 0.667 0.333 0.827
7 S 0.158 0.316 0.312
8 S 0.158 0.842 0.312
9 S 0.316 0.158 0.688
10 S 0.684 0.842 0.312
11 S 0.842 0.158 0.688
12 S 0.842 0.684 0.688


# 2
First-principles (GGA-PBE) data for crystalline K2BF at its relaxed geometry, as listed in the Alexandria database.

- offset from the most stable computed form (eV per formula unit) = 0.00
- N(E_F) (states/eV/cell) = 0.7
- V (A^3/atom) = 29.932
- formation energy without anion corrections (eV per atom) = -0.24
- total moment (μB/f.u.) = 2.000

Cell: 7.399 7.399 8.748 Å, 90.00 90.00 90.00°
Fractional coordinates of all 16 atoms:
1 K 0.182 0.250 0.125
2 K 0.250 0.682 0.375
3 K 0.250 0.818 0.875
4 K 0.318 0.250 0.625
5 K 0.682 0.750 0.625
6 K 0.750 0.182 0.875
7 K 0.750 0.318 0.375
8 K 0.818 0.750 0.125
9 B 0.000 0.000 0.500
10 B 0.000 0.500 0.750
11 B 0.500 0.000 0.250
12 B 0.500 0.500 0.000
13 F 0.000 0.000 0.000
14 F 0.000 0.500 0.250
15 F 0.500 0.000 0.750
16 F 0.500 0.500 0.500